LaLuSc2: optimized geometry, GGA-PBE.

Lattice parameters (Å, degrees): 3.8886 3.8886 7.6268 90.00 90.00 90.00
Space group P4/mmm (No. 123)
Inequivalent atoms, fractional coordinates:
La: 0.0000 0.0000 0.0000 (multiplicity 1)
Lu: 0.0000 0.0000 0.5000 (multiplicity 1)
Sc: 0.5000 0.5000 0.2686 (multiplicity 2)

Calculated values
The energy above the most stable polymorph in this dataset is 0.00 eV/f.u. Its crystal system is tetragonal.


Cs2CeAsO6: optimized geometry, GGA-PBE.

Lattice parameters (Å, degrees): 6.7882 6.7882 5.7528 90.00 90.00 120.00
Space group P-3m1 (No. 164)
Inequivalent atoms, fractional coordinates:
Cs: 0.3333 0.6667 0.3715 (multiplicity 2)
Ce: 0.0000 0.0000 0.0000 (multiplicity 1)
As: 0.0000 0.0000 0.5000 (multiplicity 1)
O: 0.1267 0.2534 0.6988 (multiplicity 6)

Calculated values
Its crystal system is trigonal. The energy relative to the elements, uncorrected is -1.803 eV/atom.


K2Y2SbS6: optimized geometry, GGA-PBE.

Lattice parameters (Å, degrees): 6.9032 11.9056 7.9029 90.00 106.88 90.00
Space group C2/m (No. 12)
Inequivalent atoms, fractional coordinates:
K: 0.0000 0.1679 0.0000 (multiplicity 4)
Y: 0.0000 0.3332 0.5000 (multiplicity 4)
Sb: 0.0000 0.0000 0.5000 (multiplicity 2)
S: 0.2267 0.1624 0.6952 (multiplicity 8)
S: 0.2445 0.5000 0.6945 (multiplicity 4)

Calculated values
Its crystal system is monoclinic. The energy relative to the elements, uncorrected is -1.394 eV/atom.


Pm3Al6Pd5: optimized geometry, GGA-PBE.

Lattice parameters (Å, degrees): 4.3423 13.0092 9.4121 90.00 90.00 90.00
Space group Pmmn (No. 59, origin choice 2)
Inequivalent atoms, fractional coordinates:
Pm: 0.2500 0.0520 0.2466 (multiplicity 4)
Pm: 0.2500 0.7500 0.2596 (multiplicity 2)
Al: 0.2500 0.0689 0.5859 (multiplicity 4)
Al: 0.2500 0.2500 0.0383 (multiplicity 2)
Al: 0.2500 0.2500 0.4224 (multiplicity 2)
Al: 0.2500 0.5992 0.9813 (multiplicity 4)
Pd: 0.2500 0.0926 0.8695 (multiplicity 4)
Pd: 0.2500 0.6344 0.5367 (multiplicity 4)
Pd: 0.2500 0.7500 0.7981 (multiplicity 2)

Calculated values
Its uncorrected energy is -74.3 eV/f.u. Its crystal system is orthorhombic.


Number 1 is which compound? LaLuSc2


Copy entry 3 word for word.
K2Y2SbS6: optimized geometry, GGA-PBE.

Lattice parameters (Å, degrees): 6.9032 11.9056 7.9029 90.00 106.88 90.00
Space group C2/m (No. 12)
Inequivalent atoms, fractional coordinates:
K: 0.0000 0.1679 0.0000 (multiplicity 4)
Y: 0.0000 0.3332 0.5000 (multiplicity 4)
Sb: 0.0000 0.0000 0.5000 (multiplicity 2)
S: 0.2267 0.1624 0.6952 (multiplicity 8)
S: 0.2445 0.5000 0.6945 (multiplicity 4)

Calculated values
Its crystal system is monoclinic. The energy relative to the elements, uncorrected is -1.394 eV/atom.


What is the formula in the fourth record? Pm3Al6Pd5